Crystalline VPd2SeS at its relaxed geometry, computed with PBE.

a = 4.666 Å, b = 4.662 Å, c = 4.666 Å
α = 90.00°, β = 90.00°, γ = 90.00°
Sites, in units of the cell vectors:
S1 0.500 0.500 0.500
Se1 0.000 0.000 0.000
Pd1 0.000 0.000 0.500
Pd2 0.500 0.000 0.000
V1 0.000 0.500 0.000

Summary:
Energy relative to the elements, uncorrected   0.534 eV/atom